## VGe2Pd2 (GGA-PBE)

Data for a geometry-optimized VGe2Pd2 structure.

Its energy is -5.894 eV per atom. The volume is 15.5 A^3/atom. Its density of states at the Fermi level is 7.5 states/eV per cell.

It has space group P4/mbm (No. 127), with a = 7.2190 Å, b = 7.2190 Å, c = 2.9789 Å, α = 90.00°, β = 90.00° and γ = 90.00°. The distinct sites, in fractional coordinates, are V at (0.0000, 0.0000, 0.0000), Ge at (0.1561, 0.3439, 0.0000) and Pd at (0.1442, 0.6442, 0.5000).